# MgTaBr2 (PBE, relaxed)
data_MgTaBr2
_cell_length_a 9.0764
_cell_length_b 9.0764
_cell_length_c 5.8807
_cell_angle_alpha 90.00
_cell_angle_beta 90.00
_cell_angle_gamma 90.00
_space_group_name_H-M_alt 'I -4 2 d'
_space_group_IT_number 122
_space_group_name_Hall 'I -4 2bw'
loop_
_atom_site_label
_atom_site_fract_x
_atom_site_fract_y
_atom_site_fract_z
_atom_site_occupancy
Mg1 0.0000 0.0000 0.0000 1
Ta1 0.0000 0.0000 0.5000 1
Br1 0.1204 0.2500 0.6250 1
# Total DFT energy (no corrections): -63.5 eV per cell
# Fermi-level density of states: 2.9 states/eV/f.u.
# Size of the total moment: 0.51 μB/atom
# Uncorrected formation energy: 0.2307 eV/atom
# Energy above the most stable polymorph in this dataset: 624.8 meV per atom